w) {"formula": "CaBe2Os", "functional": "PBE", "state": "optimized geometry", "cell": [[4.2474, 0.0000, 0.0000], [0.0000, 4.2474, 0.0000], [0.0000, 0.0000, 3.0814]], "species": ["Ca", "Be", "Be", "Os"], "frac_coords": [[0.0000, 0.0000, 0.0000], [0.0000, 0.5000, 0.5000], [0.5000, 0.0000, 0.5000], [0.5000, 0.5000, 0.0000]]}

***

x) {"formula": "CaBe2Os", "functional": "PBE", "state": "optimized geometry", "cell": [[-1.8559, 1.8559, 4.2659], [1.8559, -1.8559, 4.2659], [1.8559, 1.8559, -4.2659]], "species": ["Ca", "Be", "Be", "Os"], "frac_coords": [[0.0000, 0.0000, 0.0000], [0.5000, 0.5000, 0.0000], [0.7500, 0.2500, 0.5000], [0.2500, 0.7500, 0.5000]]}

***

What is the stability order? It is w), x), from most stable to least stable.